Entry 1:
ZrMoW | meta-GGA SCAN | single point on PBEsol structure

The structure belongs to space group Imma (No. 74); the cell edges are 5.319, 5.365 and 7.551 Å and the angles 90.00°, 90.00° and 90.00°. Symmetry generates all atoms from Zr at (0.000, 0.250, 0.125), Mo at (0.250, 0.250, 0.750) and W at (0.000, 0.000, 0.500).

=====

Entry 2:
Y2Mo3 | meta-GGA SCAN | single point on PBEsol structure

The structure belongs to space group P-3m1 (No. 164); the cell edges are 3.1579, 3.1579 and 11.5651 Å and the angles 90.00°, 90.00° and 120.00°. Symmetry generates all atoms from Y at (0.3333, 0.6667, 0.2933), Mo at (0.0000, 0.0000, 0.5000) and Mo at (0.3333, 0.6667, 0.9267).

=====

Entry 3:
YZnMo | meta-GGA SCAN | single point on PBEsol structure

The structure belongs to space group Imm2 (No. 44); the cell edges are 3.130, 3.659 and 9.829 Å and the angles 90.00°, 90.00° and 90.00°. Symmetry generates all atoms from Y at (0.000, 0.000, 0.000), Zn at (0.000, 0.000, 0.696) and Mo at (0.000, 0.000, 0.310).

=====

Entry 4:
YZnMo2 | meta-GGA SCAN | single point on PBEsol structure

The structure belongs to space group Imm2 (No. 44); the cell edges are 4.430, 4.746 and 6.610 Å and the angles 90.00°, 90.00° and 90.00°. Symmetry generates all atoms from Y at (0.000, 0.000, 0.000), Zn at (0.000, 0.500, 0.762), Mo at (0.000, 0.000, 0.516) and Mo at (0.000, 0.500, 0.239).

=====

Entry 5:
YZn2Mo | meta-GGA SCAN | single point on PBEsol structure

The structure belongs to space group C2/m (No. 12); the cell edges are 9.443, 2.868 and 5.342 Å and the angles 90.00°, 98.81° and 90.00°. Symmetry generates all atoms from Y at (0.000, 0.000, 0.000), Zn at (0.241, 0.000, 0.698) and Mo at (0.000, 0.500, 0.500).

=====

Entry 6:
YZnMo2 | meta-GGA SCAN | single point on PBEsol structure

The structure belongs to space group R-3m (No. 166, hexagonal axes); the cell edges are 2.8318, 2.8318 and 29.7897 Å and the angles 90.00°, 90.00° and 120.00°. Symmetry generates all atoms from Y at (0.0000, 0.0000, 0.0000), Zn at (0.0000, 0.0000, 0.5000) and Mo at (0.0000, 0.0000, 0.2414).

=====

Entry 7:
YZn3Mo | meta-GGA SCAN | single point on PBEsol structure

The structure belongs to space group Pm-3m (No. 221); the cell edges are 4.733, 4.733 and 4.733 Å and the angles 90.00°, 90.00° and 90.00°. Symmetry generates all atoms from Y at (0.000, 0.000, 0.000), Zn at (0.000, 0.500, 0.500) and Mo at (0.500, 0.500, 0.500).

=====

Entry 8:
YZnMo4 | meta-GGA SCAN | single point on PBEsol structure

The structure belongs to space group F-43m (No. 216); the cell edges are 7.503, 7.503 and 7.503 Å and the angles 90.00°, 90.00° and 90.00°. Symmetry generates all atoms from Y at (0.000, 0.000, 0.000), Zn at (0.250, 0.250, 0.750) and Mo at (0.124, 0.124, 0.376).

=====

no.,ΔH_f (0 K) (kJ per mole of atoms)
1,-14.8
2,63.3
3,19.1
4,20.1
5,18.6
6,63.0
7,34.5
8,32.5